1:
SrTl2Br2: relaxed, PBE.

```
10
Lattice="5.4117 0.0000 0.0000 0.0000 5.4117 0.0000 0.0000 0.0000 13.2788" Properties=species:S:1:pos:R:3 pbc="T T T"
Sr 0.0000 0.0000 0.0000
Sr 2.7058 2.7058 6.6394
Tl 0.0000 0.0000 5.0295
Tl 0.0000 0.0000 8.2493
Tl 2.7058 2.7058 1.6099
Tl 2.7058 2.7058 11.6689
Br 0.0000 2.7058 3.3197
Br 0.0000 2.7058 9.9591
Br 2.7058 0.0000 3.3197
Br 2.7058 0.0000 9.9591
```

* space group: I4/mmm (139)
* size of the total moment: 0.0 μB per formula unit
* calculated volume: 388.89 Å³/cell

2:
SrTl2Br2: relaxed, PBE.

```
10
Lattice="8.5886 0.0000 0.0000 0.0000 8.5886 0.0000 0.0000 0.0000 5.0064" Properties=species:S:1:pos:R:3 pbc="T T T"
Sr 0.0000 0.0000 0.0000
Sr 4.2943 4.2943 0.0000
Tl 1.1001 3.1942 0.0000
Tl 3.1942 7.4885 0.0000
Tl 5.3945 1.1001 0.0000
Tl 7.4885 5.3945 0.0000
Br 1.7797 6.0740 2.5032
Br 2.5146 1.7797 2.5032
Br 6.0740 6.8089 2.5032
Br 6.8089 2.5146 2.5032
```

* space group: P4/mbm (127)
* size of the total moment: 0.0 μB per formula unit
* calculated volume: 369.29 Å³/cell

Stability, lowest: 1

1:
SrTl3Br: relaxed, PBE.

```
5
Lattice="6.0087 0.0000 0.0000 0.0000 6.0087 0.0000 0.0000 0.0000 6.0087" Properties=species:S:1:pos:R:3 pbc="T T T"
Sr 0.0000 0.0000 0.0000
Tl 0.0000 3.0043 3.0043
Tl 3.0043 0.0000 3.0043
Tl 3.0043 3.0043 0.0000
Br 3.0043 3.0043 3.0043
```

* space group: Pm-3m (221)
* size of the total moment: 0.0 μB per formula unit
* calculated volume: 216.94 Å³/cell

2:
SrTl3Br: relaxed, PBE.

```
5
Lattice="6.4693 0.0000 0.0000 0.0000 6.4693 0.0000 0.0000 0.0000 6.4693" Properties=species:S:1:pos:R:3 pbc="T T T"
Sr 0.0000 0.0000 0.0000
Tl 0.0000 0.0000 3.2347
Tl 0.0000 3.2347 0.0000
Tl 3.2347 0.0000 0.0000
Br 3.2347 3.2347 3.2347
```

* space group: Pm-3m (221)
* size of the total moment: 1.1 μB per formula unit
* calculated volume: 270.76 Å³/cell

Stability, lowest: 2

1:
SrV2Br: relaxed, PBE.

```
16
Lattice="7.5631 0.0000 0.0000 0.0000 7.5631 0.0000 0.0000 0.0000 7.5631" Properties=species:S:1:pos:R:3 pbc="T T T"
Sr 0.0000 0.0000 0.0000
Sr 0.0000 3.7816 3.7816
Sr 3.7816 0.0000 3.7816
Sr 3.7816 3.7816 0.0000
V 1.8908 1.8908 1.8908
V 1.8908 1.8908 5.6724
V 1.8908 5.6724 1.8908
V 1.8908 5.6724 5.6724
V 5.6724 1.8908 1.8908
V 5.6724 1.8908 5.6724
V 5.6724 5.6724 1.8908
V 5.6724 5.6724 5.6724
Br 0.0000 0.0000 3.7816
Br 0.0000 3.7816 0.0000
Br 3.7816 0.0000 0.0000
Br 3.7816 3.7816 3.7816
```

* space group: Fm-3m (225)
* size of the total moment: 9.2 μB per formula unit
* calculated volume: 432.62 Å³/cell

2:
SrV2Br: relaxed, PBE.

```
16
Lattice="4.2919 0.0000 0.0000 0.0000 4.2919 0.0000 0.0000 0.0000 21.3787" Properties=species:S:1:pos:R:3 pbc="T T T"
Sr 0.0000 0.0000 0.0000
Sr 0.0000 2.1459 5.3447
Sr 2.1459 0.0000 16.0340
Sr 2.1459 2.1459 10.6893
V 0.0959 1.0730 13.3617
V 1.0730 2.2418 18.7063
V 1.0730 4.1960 8.0170
V 2.0500 1.0730 2.6723
V 2.2418 3.2189 2.6723
V 3.2189 0.0959 8.0170
V 3.2189 2.0500 18.7063
V 4.1960 3.2189 13.3617
Br 0.0000 0.0000 10.6893
Br 0.0000 2.1459 16.0340
Br 2.1459 0.0000 5.3447
Br 2.1459 2.1459 0.0000
```

* space group: I-42d (122)
* size of the total moment: 0.0 μB per formula unit
* calculated volume: 393.80 Å³/cell

Stability, lowest: 1

1:
SrWBr2: relaxed, PBE.

```
8
Lattice="3.5664 0.0000 0.0000 0.0000 4.4447 0.0000 0.0000 0.0000 15.3326" Properties=species:S:1:pos:R:3 pbc="T T T"
Sr 0.0000 0.0000 0.0000
Sr 1.7832 2.2223 7.6663
W 0.0000 2.2223 10.4352
W 1.7832 0.0000 2.7689
Br 0.0000 0.0000 6.3241
Br 0.0000 2.2223 2.7723
Br 1.7832 0.0000 10.4386
Br 1.7832 2.2223 13.9904
```

* space group: Imm2 (44)
* size of the total moment: 3.2 μB per formula unit
* calculated volume: 243.04 Å³/cell

2:
SrWBr2: relaxed, PBE.

```
8
Lattice="4.3012 0.0000 0.0000 0.0000 4.3012 0.0000 0.0000 0.0000 12.2187" Properties=species:S:1:pos:R:3 pbc="T T T"
Sr 0.0000 0.0000 0.0000
Sr 2.1506 2.1506 6.1094
W 0.0000 2.1506 9.1640
W 2.1506 0.0000 3.0547
Br 0.0000 0.0000 6.1094
Br 0.0000 2.1506 3.0547
Br 2.1506 0.0000 9.1640
Br 2.1506 2.1506 0.0000
```

* space group: I-4m2 (119)
* size of the total moment: 4.1 μB per formula unit
* calculated volume: 226.05 Å³/cell

3:
SrWBr2: relaxed, PBE.

```
4
Lattice="3.3752 0.0000 0.0000 0.0000 4.3626 0.0000 0.0000 0.0000 6.4069" Properties=species:S:1:pos:R:3 pbc="T T T"
Sr 0.0000 0.0000 0.0000
W 1.6876 0.0000 3.2035
Br 1.6876 2.1813 1.6937
Br 1.6876 2.1813 4.7132
```

* space group: Pmmm (47)
* size of the total moment: 0.0 μB per formula unit
* calculated volume: 94.34 Å³/cell

4:
SrWBr2: relaxed, PBE.

```
8
Lattice="3.5487 0.0000 0.0000 0.0000 5.3797 0.0000 0.0000 0.0000 12.6891" Properties=species:S:1:pos:R:3 pbc="T T T"
Sr 0.0000 0.0000 0.0000
Sr 1.7743 2.6899 6.3445
W 0.0000 0.0000 6.3445
W 1.7743 2.6899 0.0000
Br 0.0000 2.6899 1.9121
Br 0.0000 2.6899 10.7770
Br 1.7743 0.0000 4.4324
Br 1.7743 0.0000 8.2566
```

* space group: Immm (71)
* size of the total moment: 0.0 μB per formula unit
* calculated volume: 242.25 Å³/cell

Stability, lowest: 2